No. 1
# Ni2IrRu | the Alexandria database | GGA-PBE | optimized geometry
data_Ni2IrRu
_cell_length_a 2.6472
_cell_length_b 2.6472
_cell_length_c 7.2185
_cell_angle_alpha 90.00
_cell_angle_beta 90.00
_cell_angle_gamma 90.00
_space_group_name_H-M_alt 'P 1'
_space_group_IT_number 1
_space_group_name_Hall 'P 1'
loop_
_atom_site_label
_atom_site_fract_x
_atom_site_fract_y
_atom_site_fract_z
Ni1 0.0000 0.0000 0.2479
Ni2 0.0000 0.0000 0.7521
Ir1 0.5000 0.5000 0.5000
Ru1 0.5000 0.5000 0.0000
# Relative energy among the computed polymorphs, meV per atom: 107.8
# Formation energy from the elements, meV/atom: 106.4
# SG: P4/mmm, No. 123

No. 2
# Ni14IrRu | the Alexandria database | GGA-PBE | optimized geometry
data_Ni14IrRu
_cell_length_a 8.2378
_cell_length_b 5.0578
_cell_length_c 5.0578
_cell_angle_alpha 60.30
_cell_angle_beta 90.00
_cell_angle_gamma 90.00
_space_group_name_H-M_alt 'P 1'
_space_group_IT_number 1
_space_group_name_Hall 'P 1'
loop_
_atom_site_label
_atom_site_fract_x
_atom_site_fract_y
_atom_site_fract_z
Ni1 0.0000 0.0000 0.0000
Ni2 0.0000 0.0001 0.4999
Ni3 0.0000 0.4999 0.0001
Ni4 0.0000 0.4999 0.4999
Ni5 0.2451 0.1688 0.6676
Ni6 0.2451 0.6676 0.1688
Ni7 0.2459 0.1671 0.1671
Ni8 0.2459 0.6667 0.6667
Ni9 0.5000 0.3345 0.8357
Ni10 0.5000 0.8357 0.3345
Ni11 0.7541 0.1671 0.1671
Ni12 0.7541 0.6667 0.6667
Ni13 0.7549 0.1688 0.6676
Ni14 0.7549 0.6676 0.1688
Ir1 0.5000 0.8361 0.8361
Ru1 0.5000 0.3362 0.3362
# Formation energy from the elements, meV/atom: 46.1
# SG: Amm2, No. 38

No. 3
# Ni2IrRu | the Alexandria database | GGA-PBE | optimized geometry
data_Ni2IrRu
_cell_length_a 6.5884
_cell_length_b 6.5884
_cell_length_c 5.0960
_cell_angle_alpha 90.00
_cell_angle_beta 90.00
_cell_angle_gamma 90.00
_space_group_name_H-M_alt 'P 1'
_space_group_IT_number 1
_space_group_name_Hall 'P 1'
loop_
_atom_site_label
_atom_site_fract_x
_atom_site_fract_y
_atom_site_fract_z
Ni1 0.2459 0.2500 0.1250
Ni2 0.2500 0.7459 0.3750
Ni3 0.2500 0.7541 0.8750
Ni4 0.2541 0.2500 0.6250
Ni5 0.7459 0.7500 0.6250
Ni6 0.7500 0.2459 0.8750
Ni7 0.7500 0.2541 0.3750
Ni8 0.7541 0.7500 0.1250
Ir1 0.0000 0.0000 0.5000
Ir2 0.0000 0.5000 0.7500
Ir3 0.5000 0.0000 0.2500
Ir4 0.5000 0.5000 0.0000
Ru1 0.0000 0.0000 0.0000
Ru2 0.0000 0.5000 0.2500
Ru3 0.5000 0.0000 0.7500
Ru4 0.5000 0.5000 0.5000
# Relative energy among the computed polymorphs, meV per atom: 666.5
# Formation energy from the elements, meV/atom: 665.2
# SG: I-42d, No. 122

No. 4
# Ni2IrRu | the Alexandria database | GGA-PBE | optimized geometry
data_Ni2IrRu
_cell_length_a 4.4586
_cell_length_b 2.6505
_cell_length_c 4.6042
_cell_angle_alpha 90.00
_cell_angle_beta 110.27
_cell_angle_gamma 90.00
_space_group_name_H-M_alt 'P 1'
_space_group_IT_number 1
_space_group_name_Hall 'P 1'
loop_
_atom_site_label
_atom_site_fract_x
_atom_site_fract_y
_atom_site_fract_z
Ni1 0.0000 0.0000 0.0000
Ni2 0.0000 0.5000 0.5000
Ir1 0.5000 0.0000 0.5000
Ru1 0.5000 0.5000 0.0000
# Relative energy among the computed polymorphs, meV per atom: 80.6
# Formation energy from the elements, meV/atom: 79.3
# SG: P2/m, No. 10

No. 5
# NiIr4Ru | the Alexandria database | GGA-PBE | optimized geometry
data_NiIr4Ru
_cell_length_a 2.7228
_cell_length_b 3.8055
_cell_length_c 8.0538
_cell_angle_alpha 90.00
_cell_angle_beta 90.00
_cell_angle_gamma 90.00
_space_group_name_H-M_alt 'P 1'
_space_group_IT_number 1
_space_group_name_Hall 'P 1'
loop_
_atom_site_label
_atom_site_fract_x
_atom_site_fract_y
_atom_site_fract_z
Ni1 0.0000 0.0000 0.0000
Ir1 0.0000 0.0000 0.3299
Ir2 0.0000 0.0000 0.6701
Ir3 0.5000 0.5000 0.1621
Ir4 0.5000 0.5000 0.8379
Ru1 0.5000 0.5000 0.5000
# Relative energy among the computed polymorphs, meV per atom: 0.0
# Formation energy from the elements, meV/atom: 4.9
# SG: Pmmm, No. 47

No. 6
# Ni2IrRu | the Alexandria database | GGA-PBE | optimized geometry
data_Ni2IrRu
_cell_length_a 4.1948
_cell_length_b 4.1948
_cell_length_c 2.8608
_cell_angle_alpha 90.00
_cell_angle_beta 90.00
_cell_angle_gamma 90.00
_space_group_name_H-M_alt 'P 1'
_space_group_IT_number 1
_space_group_name_Hall 'P 1'
loop_
_atom_site_label
_atom_site_fract_x
_atom_site_fract_y
_atom_site_fract_z
Ni1 0.0000 0.5000 0.0000
Ni2 0.5000 0.0000 0.0000
Ir1 0.0000 0.0000 0.5000
Ru1 0.5000 0.5000 0.5000
# Relative energy among the computed polymorphs, meV per atom: 182.0
# Formation energy from the elements, meV/atom: 180.7
# SG: P4/mmm, No. 123

What did the third record say?
# Ni2IrRu | the Alexandria database | GGA-PBE | optimized geometry
data_Ni2IrRu
_cell_length_a 6.5884
_cell_length_b 6.5884
_cell_length_c 5.0960
_cell_angle_alpha 90.00
_cell_angle_beta 90.00
_cell_angle_gamma 90.00
_space_group_name_H-M_alt 'P 1'
_space_group_IT_number 1
_space_group_name_Hall 'P 1'
loop_
_atom_site_label
_atom_site_fract_x
_atom_site_fract_y
_atom_site_fract_z
Ni1 0.2459 0.2500 0.1250
Ni2 0.2500 0.7459 0.3750
Ni3 0.2500 0.7541 0.8750
Ni4 0.2541 0.2500 0.6250
Ni5 0.7459 0.7500 0.6250
Ni6 0.7500 0.2459 0.8750
Ni7 0.7500 0.2541 0.3750
Ni8 0.7541 0.7500 0.1250
Ir1 0.0000 0.0000 0.5000
Ir2 0.0000 0.5000 0.7500
Ir3 0.5000 0.0000 0.2500
Ir4 0.5000 0.5000 0.0000
Ru1 0.0000 0.0000 0.0000
Ru2 0.0000 0.5000 0.2500
Ru3 0.5000 0.0000 0.7500
Ru4 0.5000 0.5000 0.5000
# Relative energy among the computed polymorphs, meV per atom: 666.5
# Formation energy from the elements, meV/atom: 665.2
# SG: I-42d, No. 122

Repeat the fourth record exactly.
# Ni2IrRu | the Alexandria database | GGA-PBE | optimized geometry
data_Ni2IrRu
_cell_length_a 4.4586
_cell_length_b 2.6505
_cell_length_c 4.6042
_cell_angle_alpha 90.00
_cell_angle_beta 110.27
_cell_angle_gamma 90.00
_space_group_name_H-M_alt 'P 1'
_space_group_IT_number 1
_space_group_name_Hall 'P 1'
loop_
_atom_site_label
_atom_site_fract_x
_atom_site_fract_y
_atom_site_fract_z
Ni1 0.0000 0.0000 0.0000
Ni2 0.0000 0.5000 0.5000
Ir1 0.5000 0.0000 0.5000
Ru1 0.5000 0.5000 0.0000
# Relative energy among the computed polymorphs, meV per atom: 80.6
# Formation energy from the elements, meV/atom: 79.3
# SG: P2/m, No. 10